## BaBeCd2Si (PBE-GGA)

Data for crystalline BaBeCd2Si at its relaxed geometry.

Cell: 6.9148 6.9148 5.8654 Å, 90.00 90.00 90.00°
Fractional coordinates of all 5 atoms:
Ba: 0.0000 0.0000 0.0000
Be: 0.5000 0.5000 0.5000
Cd: 0.0000 0.5000 0.0000
Cd: 0.5000 0.0000 0.0000
Si: 0.0000 0.0000 0.5000

Properties
E_form (uncorrected) (eV per atom): 1.454
ρ (g cm⁻³): 2.4